No. 1
This record from Alexandria via LeMat-Bulk describes crystalline TcAs2PtBr at its relaxed geometry. The functional is GGA-PBE.

Properties
The energy above the most stable polymorph in this dataset comes out at 0 meV/atom. As for the space group: P4/mmm. The calculation puts the total energy at -4.649 eV/atom.

Cell and atoms, written as extended XYZ:
```
5
Lattice="4.6953 0.0000 0.0000 0.0000 4.6953 0.0000 0.0000 0.0000 5.1904" Properties=species:S:1:pos:R:3 pbc="T T T"
As 2.3476 0.0000 0.0000
Pt 2.3476 2.3476 2.5952
Br 0.0000 0.0000 2.5952
As 0.0000 2.3476 0.0000
Tc 0.0000 0.0000 0.0000
```

---

No. 2
This record from Alexandria via LeMat-Bulk describes crystalline TiZnP2O at its relaxed geometry. The functional is GGA-PBE.

Properties
The energy above the most stable polymorph in this dataset comes out at 0 meV/atom. As for the space group: P4/mmm. The calculation puts the total energy at -5.385 eV/atom.

Cell and atoms, written as extended XYZ:
```
5
Lattice="4.9249 0.0000 0.0000 0.0000 4.9249 0.0000 0.0000 0.0000 3.6646" Properties=species:S:1:pos:R:3 pbc="T T T"
O 0.0000 0.0000 1.8323
P 0.0000 2.4624 0.0000
Ti 0.0000 0.0000 0.0000
P 2.4624 0.0000 0.0000
Zn 2.4624 2.4624 1.8323
```

---

No. 3
This record from Alexandria via LeMat-Bulk describes crystalline Dy3MgSi6 at its relaxed geometry. The functional is GGA-PBE.

Properties
As for the space group: R-3c. The calculation puts the total energy at -5.313 eV/atom.

Cell and atoms, written as extended XYZ:
```
20
Lattice="-6.0087 0.9670 -4.2276 -3.4119 -0.9672 6.5066 1.8858 7.1185 0.8265" Properties=species:S:1:pos:R:3 pbc="T T T"
Dy -5.2144 1.7649 -0.9875
Si -3.8783 0.7737 1.5013
Si -3.6564 6.3445 1.6041
Si -5.0084 3.8543 4.0318
Si -5.3508 6.1210 4.5230
Si -5.7225 7.2680 0.9919
Mg -3.7674 3.5591 1.5527
Si -7.8334 4.4728 2.2774
Si -1.2003 3.1468 2.5594
Dy -2.3203 5.3533 4.0929
Si -2.5263 3.2640 -0.9264
Dy -6.4340 1.6603 2.5771
Si -1.8122 -0.1498 2.1135
Dy -1.1007 5.4580 0.5283
Si -6.3345 3.9714 0.5460
Si 0.2987 2.6455 0.8280
Si -2.1839 0.9973 -1.4176
Dy -3.1033 1.6749 4.3410
Dy -4.4315 5.4433 -1.2356
Mg 0.0000 0.0000 0.0000
```

---

Listing formation energy from raw total energies for the structures above in their given order: 826.9; -395.9; -518.6 meV/atom.